(1)
An optimized crystal structure of ScZnFeSi. Source: OQMD, functional PBE.

Output
Energy above the most stable polymorph in this dataset (meV per atom): 0.0
Total magnetic moment (μB per formula unit): 0.0

Unit cell a=4.2822 b=4.2822 c=4.2822 alpha=60.00 beta=60.00 gamma=60.00
Last column: nearest neighbours and their distance in Å.
Fractional coordinates of all 4 atoms:
1 Sc 0.2500 0.2500 0.2500  4 Si 2.62, 4 Zn 2.62
2 Fe 0.7500 0.7500 0.7500  4 Zn 2.62, 4 Si 2.62
3 Si 0.0000 0.0000 0.0000  4 Fe 2.62, 4 Sc 2.62
4 Zn 0.5000 0.5000 0.5000  4 Fe 2.62, 4 Sc 2.62

(2)
An optimized crystal structure of ScZnFeSi. Source: OQMD, functional PBE.

Output
Energy above the most stable polymorph in this dataset (meV per atom): 203.7
Total magnetic moment (μB per formula unit): 1.6

Unit cell a=4.3279 b=4.3279 c=4.3279 alpha=60.00 beta=60.00 gamma=60.00
Last column: nearest neighbours and their distance in Å.
Fractional coordinates of all 4 atoms:
1 Fe 0.5000 0.5000 0.5000  4 Sc 2.65, 4 Zn 2.65
2 Si 0.0000 0.0000 0.0000  4 Sc 2.65, 4 Zn 2.65
3 Zn 0.7500 0.7500 0.7500  4 Si 2.65, 4 Fe 2.65
4 Sc 0.2500 0.2500 0.2500  4 Si 2.65, 4 Fe 2.65

(3)
An optimized crystal structure of ScZnFeSi. Source: OQMD, functional PBE.

Output
Energy above the most stable polymorph in this dataset (meV per atom): 75.3
Total magnetic moment (μB per formula unit): 1.0

Unit cell a=4.2647 b=4.2647 c=4.2647 alpha=60.00 beta=60.00 gamma=60.00
Last column: nearest neighbours and their distance in Å.
Fractional coordinates of all 4 atoms:
1 Sc 0.5000 0.5000 0.5000  4 Fe 2.61, 4 Zn 2.61
2 Zn 0.7500 0.7500 0.7500  4 Si 2.61, 4 Sc 2.61
3 Si 0.0000 0.0000 0.0000  4 Zn 2.61, 4 Fe 2.61
4 Fe 0.2500 0.2500 0.2500  4 Sc 2.61, 4 Si 2.61

(4)
An optimized crystal structure of ZrSc2Fe4Si4. Source: OQMD, functional PBE.

Output
Total magnetic moment (μB per formula unit): 5.2

Unit cell a=7.3675 b=7.3675 c=7.3675 alpha=149.87 beta=127.47 gamma=61.75
Last column: nearest neighbours and their distance in Å.
Fractional coordinates of all 11 atoms:
1 Zr 0.0000 0.0000 0.0000  6 Si 2.77-2.80
2 Sc 0.6251 0.1251 0.5000  6 Si 2.72-2.78, 6 Fe 2.78-2.86
3 Sc 0.3749 0.8749 0.5000  6 Si 2.72-2.78, 6 Fe 2.78-2.86
4 Si 0.2217 0.2217 0.0000  6 Fe 2.35-2.39
5 Si 0.7783 0.7783 0.0000  6 Fe 2.35-2.39
6 Si 0.6926 0.5000 0.1926  2 Fe 2.37, 1 Si 2.51
7 Si 0.3074 0.5000 0.8074  2 Fe 2.37, 1 Si 2.51
8 Fe 0.6326 0.3223 0.3103  4 Si 2.35-2.39, 1 Fe 2.47
9 Fe 0.3674 0.6777 0.6897  4 Si 2.35-2.39, 1 Fe 2.47
10 Fe 0.9880 0.6777 0.3103  4 Si 2.35-2.39, 1 Fe 2.47
11 Fe 0.0120 0.3223 0.6897  4 Si 2.35-2.39, 1 Fe 2.47

(5)
An optimized crystal structure of ZrScFeSi2. Source: OQMD, functional PBE.

Output
Energy above the most stable polymorph in this dataset (meV per atom): 22.7
Total magnetic moment (μB per formula unit): 0.0

Unit cell a=5.3284 b=5.3284 c=9.5048 alpha=116.69 beta=116.69 gamma=43.39
Last column: nearest neighbours and their distance in Å.
Fractional coordinates of all 10 atoms:
1 Zr 0.9990 0.9990 0.3257  6 Si 2.71-2.88, 4 Fe 2.82-2.98
2 Zr 0.0010 0.0010 0.6743  6 Si 2.71-2.88, 4 Fe 2.82-2.98
3 Si 0.3518 0.3518 0.4278  3 Fe 2.26-2.31
4 Si 0.6482 0.6482 0.5722  3 Fe 2.26-2.31
5 Si 0.4905 0.4905 0.1254  1 Fe 2.40, 1 Si 2.48
6 Si 0.5095 0.5095 0.8746  1 Fe 2.40, 1 Si 2.48
7 Fe 0.7254 0.7254 0.3780  4 Si 2.26-2.40
8 Fe 0.2746 0.2746 0.6220  4 Si 2.26-2.40
9 Sc 0.8135 0.8135 0.8962  6 Si 2.70-2.92
10 Sc 0.1865 0.1865 0.1038  6 Si 2.70-2.92

(6)
An optimized crystal structure of ZrScFeSi2. Source: OQMD, functional PBE.

Output
Energy above the most stable polymorph in this dataset (meV per atom): 0.0
Total magnetic moment (μB per formula unit): 0.0

Unit cell a=5.3070 b=5.3070 c=9.4853 alpha=116.60 beta=116.60 gamma=43.32
Last column: nearest neighbours and their distance in Å.
Fractional coordinates of all 10 atoms:
1 Sc 0.9977 0.9977 0.8271  6 Si 2.71-2.88, 4 Fe 2.84-2.93
2 Sc 0.0023 0.0023 0.1729  6 Si 2.71-2.88, 4 Fe 2.84-2.93
3 Si 0.5100 0.5100 0.3744  1 Fe 2.38, 1 Si 2.48
4 Si 0.4900 0.4900 0.6256  1 Fe 2.38, 1 Si 2.48
5 Si 0.6477 0.6477 0.0677  3 Fe 2.25-2.30
6 Si 0.3523 0.3523 0.9323  3 Fe 2.25-2.30
7 Fe 0.2748 0.2748 0.1258  4 Si 2.25-2.38
8 Fe 0.7252 0.7252 0.8742  4 Si 2.25-2.38
9 Zr 0.1876 0.1876 0.6029  6 Si 2.74-2.89
10 Zr 0.8124 0.8124 0.3971  6 Si 2.74-2.89

(7)
An optimized crystal structure of ScFeSn. Source: OQMD, functional PBE.

Output
Total magnetic moment (μB per formula unit): 1.9

Unit cell a=4.4276 b=4.4276 c=4.4276 alpha=60.00 beta=60.00 gamma=60.00
Last column: nearest neighbours and their distance in Å.
Fractional coordinates of all 3 atoms:
1 Sc 0.2500 0.2500 0.2500  4 Fe 2.71
2 Fe 0.0000 0.0000 0.0000  4 Sn 2.71, 4 Sc 2.71
3 Sn 0.7500 0.7500 0.7500  4 Fe 2.71

(8)
An optimized crystal structure of ScFe2Sn. Source: OQMD, functional PBE.

Output
Total magnetic moment (μB per formula unit): 4.8

Unit cell a=4.5116 b=4.5116 c=4.5116 alpha=60.00 beta=60.00 gamma=60.00
Last column: nearest neighbours and their distance in Å.
Fractional coordinates of all 4 atoms:
1 Sn 0.5000 0.5000 0.5000  4 Fe 2.76, 4 Sc 2.76
2 Fe 0.0000 0.0000 0.0000  4 Sc 2.76, 4 Fe 2.76
3 Fe 0.7500 0.7500 0.7500  4 Sn 2.76, 4 Fe 2.76
4 Sc 0.2500 0.2500 0.2500  4 Sn 2.76, 4 Fe 2.76

It is found that the DFT total energy values, taken in the order of the records, are -5.5644, -5.3607, -5.4891, -7.5629, -7.5978, -7.6205, -6.3356, -6.7971 eV per atom.